An optimized crystal structure of AlZnOF2, computed with PBE.

Unit cell a=3.8734 b=3.8734 c=3.6453 alpha=90.00 beta=90.00 gamma=90.00
Element x y z (fractional)
1 Zn 0.5000 0.5000 0.5000
2 Al 0.0000 0.0000 0.0000
3 O 0.0000 0.0000 0.5000
4 F 0.0000 0.5000 0.0000
5 F 0.5000 0.0000 0.0000

- Formation energy (no corrections): -2.146 eV/atom
- Relative energy among the computed polymorphs: 0.000 eV/atom
- Space group: No. 123
- Electronic total energy: -4.890 eV/atom
- D(E_F): 2.36 states/eV per cell